# 1
# Zn8Cd

A crystal of Zn8Cd relaxed with PBEsol (SCAN, the Alexandria database).

a b c (Å): 3.9024 6.1906 6.1906
angles (deg): 84.30 71.63 71.63
Fractional positions:
Cd: 0.0000 0.0000 0.0000
Zn: 0.0000 0.6604 0.3396
Zn: 0.0000 0.3396 0.6604
Zn: 0.3396 0.6604 0.6604
Zn: 0.3265 0.3470 0.0000
Zn: 0.3265 0.0000 0.3470
Zn: 0.6604 0.3396 0.3396
Zn: 0.6735 0.0000 0.6530
Zn: 0.6735 0.6530 0.0000

- Magnetization: 0.0 μB per formula unit
- ΔE_f: 0.071 eV per atom



# 2
# Rb2CaWC

A crystal of Rb2CaWC relaxed with PBEsol (SCAN, the Alexandria database).

a b c (Å): 5.5859 6.4837 6.4837
angles (deg): 90.00 90.00 90.00
Fractional positions:
C: 0.5000 0.5000 0.5000
Ca: 0.5000 0.0000 0.0000
Rb: 0.0000 0.0000 0.5000
Rb: 0.0000 0.5000 0.0000
W: 0.0000 0.0000 0.0000

- Magnetization: 6.2 μB per formula unit
- ΔE_f: 2.526 eV per atom



# 3
# PS2BrN

A crystal of PS2BrN relaxed with PBEsol (SCAN, the Alexandria database).

a b c (Å): 3.2842 4.7564 4.7564
angles (deg): 90.00 90.00 90.00
Fractional positions:
P: 0.0000 0.0000 0.0000
S: 0.0000 0.0000 0.5000
S: 0.0000 0.5000 0.0000
Br: 0.5000 0.5000 0.5000
N: 0.5000 0.0000 0.0000

- Magnetization: 0.0 μB per formula unit
- Uncorrected formation energy: 0.870 eV/atom



# 4
# ZrScGa2

A crystal of ZrScGa2 relaxed with PBEsol (SCAN, the Alexandria database).

a b c (Å): 4.6872 4.6872 4.6872
angles (deg): 60.00 60.00 60.00
Fractional positions:
Sc: 0.0000 0.0000 0.0000
Ga: 0.2500 0.2500 0.2500
Ga: 0.7500 0.7500 0.7500
Zr: 0.5000 0.5000 0.5000

- Magnetization: 0.0 μB per formula unit
- ΔE_f: -0.565 eV per atom



# 5
# La2TaCrB

A crystal of La2TaCrB relaxed with PBEsol (SCAN, the Alexandria database).

a b c (Å): 4.5171 5.5006 5.5006
angles (deg): 90.00 90.00 90.00
Fractional positions:
Cr: 0.5000 0.0000 0.0000
B: 0.5000 0.5000 0.5000
La: 0.0000 0.0000 0.5000
La: 0.0000 0.5000 0.0000
Ta: 0.0000 0.0000 0.0000

- Magnetization: 2.2 μB per formula unit
- ΔE_f: 1.372 eV per atom



# 6
# YZnPt2

A crystal of YZnPt2 relaxed with PBEsol (SCAN, the Alexandria database).

a b c (Å): 4.1663 4.1770 4.8858
angles (deg): 115.31 115.24 90.00
Fractional positions:
Y: 0.5000 0.0000 0.0000
Zn: 0.0000 0.5000 0.0000
Pt: 0.7497 0.7497 0.4993
Pt: 0.2503 0.2503 0.5007

- Magnetization: 0.0 μB per formula unit
- ΔE_f: -0.973 eV per atom



# 7
# Mg3CuSn2S8

A crystal of Mg3CuSn2S8 relaxed with PBEsol (SCAN, the Alexandria database).

a b c (Å): 7.2842 7.3814 7.3814
angles (deg): 61.41 60.43 60.43
Fractional positions:
Mg: 0.0202 0.9798 0.9798
Mg: 0.8708 0.3760 0.3760
Mg: 0.3771 0.3760 0.3760
Cu: 0.7351 0.7649 0.7649
Sn: 0.3757 0.8747 0.3739
Sn: 0.3757 0.3739 0.8747
S: 0.6109 0.1311 0.1311
S: 0.1269 0.1311 0.1311
S: 0.1355 0.5923 0.1367
S: 0.1355 0.1367 0.5923
S: 0.1243 0.6258 0.6258
S: 0.6241 0.6258 0.6258
S: 0.6191 0.1376 0.6243
S: 0.6191 0.6243 0.1376

- Magnetization: 0.0 μB per formula unit
- Uncorrected formation energy: -0.877 eV/atom



# 8
# AgAs2

A crystal of AgAs2 relaxed with PBEsol (SCAN, the Alexandria database).

a b c (Å): 2.7552 2.7552 7.6386
angles (deg): 100.39 100.39 90.00
Fractional positions:
As: 0.1503 0.1503 0.3005
As: 0.8497 0.8497 0.6995
Ag: 0.5000 0.5000 0.0000

- Magnetization: 0.0 μB per formula unit
- ΔE_f: 0.288 eV per atom



# 9
# Mn2Co

A crystal of Mn2Co relaxed with PBEsol (SCAN, the Alexandria database).

a b c (Å): 3.4605 3.4605 10.6756
angles (deg): 99.33 99.33 90.00
Fractional positions:
Co: 0.9172 0.9172 0.8344
Co: 0.0828 0.0828 0.1656
Co: 0.1672 0.6672 0.3344
Co: 0.3328 0.8328 0.6656
Mn: 0.7494 0.7494 0.4988
Mn: 0.2506 0.2506 0.5012
Mn: 0.9994 0.4994 0.9988
Mn: 0.5006 0.0006 0.0012
Mn: 0.5808 0.5808 0.1616
Mn: 0.4192 0.4192 0.8384
Mn: 0.8308 0.3308 0.6616
Mn: 0.6692 0.1692 0.3384

- Magnetization: 0.6 μB per formula unit
- ΔE_f: -0.047 eV per atom



# 10
# Zr6Al7Cu16H3

A crystal of Zr6Al7Cu16H3 relaxed with PBEsol (SCAN, the Alexandria database).

a b c (Å): 8.3409 8.3847 8.3599
angles (deg): 119.90 90.00 119.83
Fractional positions:
Zr: 0.7985 0.9993 0.2012
Zr: 0.2008 0.9993 0.2012
Zr: 0.2158 0.4316 0.2158
Zr: 0.2008 0.9993 0.7981
Zr: 0.7985 0.9993 0.7981
Zr: 0.7878 0.5757 0.7878
Al: 0.5033 0.5028 0.5021
Al: 0.9995 0.5028 0.5021
Al: 0.0005 0.0010 0.5005
Al: 0.9995 0.5028 0.0008
Al: 0.5033 0.5028 0.0008
Al: 0.5017 0.0035 0.0017
Al: 0.5007 0.0014 0.5007
Cu: 0.1779 0.3559 0.5289
Cu: 0.1779 0.3559 0.8269
Cu: 0.1728 0.6620 0.8310
Cu: 0.4892 0.6620 0.8310
Cu: 0.8288 0.6575 0.4842
Cu: 0.8288 0.6575 0.1733
Cu: 0.8313 0.3436 0.1718
Cu: 0.5123 0.3436 0.1718
Cu: 0.3823 0.7646 0.1416
Cu: 0.3823 0.7646 0.6230
Cu: 0.3778 0.2371 0.6186
Cu: 0.8594 0.2371 0.6186
Cu: 0.6186 0.2373 0.8589
Cu: 0.6186 0.2373 0.3784
Cu: 0.6235 0.7658 0.3829
Cu: 0.1423 0.7658 0.3829
H: 0.9608 0.9216 0.9608
H: 0.0924 0.1848 0.2630
H: 0.0924 0.1848 0.9218

- Electronic total energy: -15.833 eV per atom
- Magnetization: 0.0 μB per formula unit



# 11
# TiCuP2N

A crystal of TiCuP2N relaxed with PBEsol (SCAN, the Alexandria database).

a b c (Å): 3.5890 4.1721 4.1721
angles (deg): 90.00 90.00 90.00
Fractional positions:
P: 0.0000 0.0000 0.5000
P: 0.0000 0.5000 0.0000
N: 0.0000 0.0000 0.0000
Cu: 0.5000 0.0000 0.0000
Ti: 0.5000 0.5000 0.5000

- Magnetization: 0.0 μB per formula unit
- Uncorrected formation energy: 0.313 eV/atom



# 12
# TeP2H

A crystal of TeP2H relaxed with PBEsol (SCAN, the Alexandria database).

a b c (Å): 4.6327 4.6327 6.9607
angles (deg): 109.44 109.44 90.00
Fractional positions:
P: 0.6644 0.3750 0.2500
P: 0.5856 0.8750 0.2500
P: 0.6250 0.4144 0.7500
P: 0.1250 0.3356 0.7500
Te: 0.2500 0.7500 0.5000
Te: 0.0000 0.0000 0.0000
H: 0.7500 0.2500 0.5000
H: 0.5000 0.5000 0.0000

- Electronic total energy: -14.561 eV per atom
- Magnetization: 0.0 μB per formula unit



Number 9 is which compound? Mn2Co